# 1
Compound: InHg6Pb3
Source: Alexandria via LeMat-Bulk
Functional: PBE-GGA
Structure: optimized geometry

Lattice parameters (Å, degrees): 3.6736 3.6736 24.1843 90.00 90.00 120.00
Atoms (fractional coordinates):
In  0.0000  0.0000  0.0000
Hg  0.3333  0.6667  0.3026
Hg  0.3333  0.6667  0.6035
Hg  0.3333  0.6667  0.9060
Hg  0.6667  0.3333  0.0940
Hg  0.6667  0.3333  0.3965
Hg  0.6667  0.3333  0.6974
Pb  0.0000  0.0000  0.1981
Pb  0.0000  0.0000  0.5000
Pb  0.0000  0.0000  0.8019

Formation energy (eV per atom): 0.03
E_tot (eV per atom): -1.542


# 2
Compound: SrSN3
Source: Alexandria via LeMat-Bulk
Functional: PBE-GGA
Structure: optimized geometry

Lattice parameters (Å, degrees): 4.9119 4.9119 4.9119 90.00 90.00 90.00
Atoms (fractional coordinates):
Sr  0.0000  0.0000  0.0000
S  0.5000  0.5000  0.5000
N  0.0000  0.0000  0.5000
N  0.0000  0.5000  0.0000
N  0.5000  0.0000  0.0000

Formation energy without anion corrections (meV/atom): 2533
E_tot (eV per atom): -3.624


# 3
Compound: Ta2FeHg
Source: Alexandria via LeMat-Bulk
Functional: PBE-GGA
Structure: optimized geometry

Lattice parameters (Å, degrees): 4.0287 4.0287 4.1682 90.00 90.00 90.00
Atoms (fractional coordinates):
Ta  0.0000  0.5000  0.0000
Ta  0.5000  0.0000  0.0000
Fe  0.0000  0.0000  0.5000
Hg  0.5000  0.5000  0.5000

Formation energy (eV per atom): 0.30
E_tot (eV per atom): -7.817


# 4
Compound: YPb4Au
Source: Alexandria via LeMat-Bulk
Functional: PBE-GGA
Structure: optimized geometry

Lattice parameters (Å, degrees): 6.3440 6.3440 6.3440 60.00 60.00 60.00
Atoms (fractional coordinates):
Y  0.0000  0.0000  0.0000
Pb  0.3745  0.3745  0.3745
Pb  0.3745  0.3745  0.8766
Pb  0.3745  0.8766  0.3745
Pb  0.8766  0.3745  0.3745
Au  0.7500  0.7500  0.7500

Formation energy (eV per atom): 0.10
E_tot (eV per atom): -3.992


# 5
Compound: Cu5SeS2
Source: Alexandria via LeMat-Bulk
Functional: PBE-GGA
Structure: optimized geometry

Lattice parameters (Å, degrees): 6.3996 6.3996 12.2473 90.00 90.00 143.79
Atoms (fractional coordinates):
Cu  0.0518  0.9482  0.5849
Cu  0.0518  0.9482  0.9151
Cu  0.2380  0.7620  0.2500
Cu  0.2743  0.7257  0.5654
Cu  0.2743  0.7257  0.9346
Cu  0.7257  0.2743  0.0654
Cu  0.7257  0.2743  0.4346
Cu  0.7620  0.2380  0.7500
Cu  0.9482  0.0518  0.0849
Cu  0.9482  0.0518  0.4151
Se  0.1469  0.8531  0.7500
Se  0.8531  0.1469  0.2500
S  0.1354  0.8646  0.0853
S  0.1354  0.8646  0.4147
S  0.8646  0.1354  0.5853
S  0.8646  0.1354  0.9147

Formation energy without anion corrections (meV/atom): -93
E_tot (eV per atom): -4.121


# 6
Compound: HgBi2I
Source: Alexandria via LeMat-Bulk
Functional: PBE-GGA
Structure: optimized geometry

Lattice parameters (Å, degrees): 5.5751 5.5751 5.5751 60.00 60.00 60.00
Atoms (fractional coordinates):
Hg  0.0000  0.0000  0.0000
Bi  0.2500  0.2500  0.2500
Bi  0.7500  0.7500  0.7500
I  0.5000  0.5000  0.5000

Formation energy without anion corrections (meV/atom): 230
E_tot (eV per atom): -2.174


# 7
Compound: DyY5Au6
Source: Alexandria via LeMat-Bulk
Functional: PBE-GGA
Structure: optimized geometry

Lattice parameters (Å, degrees): 8.8377 8.8377 5.0911 106.67 106.67 120.07
Atoms (fractional coordinates):
Dy  0.0000  0.0000  0.0000
Y  0.1672  0.8328  0.5000
Y  0.3337  0.6663  0.0000
Y  0.5000  0.5000  0.5000
Y  0.6663  0.3337  0.0000
Y  0.8328  0.1672  0.5000
Au  0.0825  0.4145  0.2484
Au  0.2471  0.2471  0.7472
Au  0.4145  0.0825  0.2484
Au  0.5855  0.9175  0.7516
Au  0.7529  0.7529  0.2528
Au  0.9175  0.5855  0.7516

Formation energy (eV per atom): -0.86
E_tot (eV per atom): -5.576


# 8
Compound: Cs3Sb2Cl9
Source: Alexandria via LeMat-Bulk
Functional: PBE-GGA
Structure: optimized geometry

Lattice parameters (Å, degrees): 19.1433 7.7633 13.3290 90.00 90.00 90.00
Atoms (fractional coordinates):
Cs  0.0839  0.2500  0.0853
Cs  0.0876  0.7500  0.5826
Cs  0.2489  0.7500  0.2511
Cs  0.2511  0.2500  0.7511
Cs  0.4124  0.2500  0.0826
Cs  0.4161  0.7500  0.5853
Cs  0.5839  0.2500  0.4147
Cs  0.5876  0.7500  0.9174
Cs  0.7489  0.7500  0.2489
Cs  0.7511  0.2500  0.7489
Cs  0.9124  0.2500  0.4174
Cs  0.9161  0.7500  0.9147
Sb  0.0007  0.7500  0.2606
Sb  0.1777  0.7500  0.9167
Sb  0.3223  0.2500  0.4167
Sb  0.4993  0.2500  0.7606
Sb  0.5007  0.7500  0.2394
Sb  0.6777  0.7500  0.5833
Sb  0.8223  0.2500  0.0833
Sb  0.9993  0.2500  0.7394
Cl  0.0746  0.2500  0.5857
Cl  0.0771  0.5172  0.3325
Cl  0.0771  0.9828  0.3325
Cl  0.0852  0.7500  0.0826
Cl  0.0888  0.5030  0.8278
Cl  0.0888  0.9970  0.8278
Cl  0.2460  0.5076  0.0003
Cl  0.2460  0.9924  0.0003
Cl  0.2494  0.2500  0.2575
Cl  0.2506  0.7500  0.7575
Cl  0.2540  0.0076  0.5003
Cl  0.2540  0.4924  0.5003
Cl  0.4112  0.0030  0.3278
Cl  0.4112  0.4970  0.3278
Cl  0.4148  0.2500  0.5826
Cl  0.4229  0.0172  0.8325
Cl  0.4229  0.4828  0.8325
Cl  0.4254  0.7500  0.0857
Cl  0.5746  0.2500  0.9143
Cl  0.5771  0.5172  0.1675
Cl  0.5771  0.9828  0.1675
Cl  0.5852  0.7500  0.4174
Cl  0.5888  0.5030  0.6722
Cl  0.5888  0.9970  0.6722
Cl  0.7460  0.5076  0.4997
Cl  0.7460  0.9924  0.4997
Cl  0.7494  0.2500  0.2425
Cl  0.7506  0.7500  0.7425
Cl  0.7540  0.0076  0.9997
Cl  0.7540  0.4924  0.9997
Cl  0.9112  0.0030  0.1722
Cl  0.9112  0.4970  0.1722
Cl  0.9148  0.2500  0.9174
Cl  0.9229  0.0172  0.6675
Cl  0.9229  0.4828  0.6675
Cl  0.9254  0.7500  0.4143

Formation energy without anion corrections (meV/atom): -1429
E_tot (eV per atom): -3.388


# 9
Compound: Ba3PBr2
Source: Alexandria via LeMat-Bulk
Functional: PBE-GGA
Structure: optimized geometry

Lattice parameters (Å, degrees): 15.6229 14.8973 8.2109 79.34 69.57 31.10
Atoms (fractional coordinates):
Ba  0.0352  0.5381  0.1885
Ba  0.0968  0.6532  0.6532
Ba  0.1885  0.7382  0.0352
Ba  0.2618  0.8115  0.4619
Ba  0.3468  0.9032  0.9032
Ba  0.4619  0.9648  0.2618
Ba  0.5381  0.0352  0.7382
Ba  0.6532  0.0968  0.0968
Ba  0.7382  0.1885  0.5381
Ba  0.8115  0.2618  0.9648
Ba  0.9032  0.3468  0.3468
Ba  0.9648  0.4619  0.8115
P  0.0413  0.0413  0.2087
P  0.2087  0.2087  0.0413
P  0.7913  0.7913  0.9587
P  0.9587  0.9587  0.7913
Br  0.1264  0.1264  0.6236
Br  0.2942  0.2942  0.4558
Br  0.3764  0.3764  0.8736
Br  0.4558  0.4558  0.2942
Br  0.5442  0.5442  0.7058
Br  0.6236  0.6236  0.1264
Br  0.7058  0.7058  0.5442
Br  0.8736  0.8736  0.3764

Formation energy without anion corrections (meV/atom): -1595
E_tot (eV per atom): -4.016


# 10
Compound: SmScPd
Source: Alexandria via LeMat-Bulk
Functional: PBE-GGA
Structure: optimized geometry

Lattice parameters (Å, degrees): 7.1993 7.1993 4.7855 90.00 90.00 120.00
Atoms (fractional coordinates):
Sm  0.0000  0.5940  0.0000
Sm  0.4060  0.4060  0.0000
Sm  0.5940  0.0000  0.0000
Sc  0.0000  0.2584  0.5000
Sc  0.2584  0.0000  0.5000
Sc  0.7416  0.7416  0.5000
Pd  0.0000  0.0000  0.0000
Pd  0.3333  0.6667  0.5000
Pd  0.6667  0.3333  0.5000

Formation energy (eV per atom): -0.58
E_tot (eV per atom): -5.998


# 11
Compound: In3Hg6Pb2
Source: Alexandria via LeMat-Bulk
Functional: PBE-GGA
Structure: optimized geometry

Lattice parameters (Å, degrees): 14.6144 14.6144 14.6144 19.54 19.54 19.54
Atoms (fractional coordinates):
In  0.0000  0.0000  0.0000
In  0.2724  0.2724  0.2724
In  0.7276  0.7276  0.7276
Hg  0.0875  0.0875  0.0875
Hg  0.1794  0.1794  0.1794
Hg  0.3632  0.3632  0.3632
Hg  0.6368  0.6368  0.6368
Hg  0.8206  0.8206  0.8206
Hg  0.9125  0.9125  0.9125
Pb  0.4546  0.4546  0.4546
Pb  0.5454  0.5454  0.5454

Formation energy (eV per atom): 0.03
E_tot (eV per atom): -1.553


# 12
Compound: CeThAlZn
Source: Alexandria via LeMat-Bulk
Functional: PBE-GGA
Structure: optimized geometry

Lattice parameters (Å, degrees): 5.4303 6.1086 6.1086 30.03 90.00 90.00
Atoms (fractional coordinates):
Ce  0.0000  0.0000  0.0000
Th  0.0000  0.7337  0.7337
Al  0.5000  0.1405  0.1405
Zn  0.5000  0.8740  0.8740

Formation energy (eV per atom): 0.19
E_tot (eV per atom): -4.403